{
  "formula": "Zr2Be2W",
  "functional": "PBE",
  "state": "optimized geometry",
  "lattice": [[6.561, 0.000, 0.000], [0.000, 6.561, 0.000], [0.000, 0.000, 3.655]],
  "species": ["Zr", "Zr", "Zr", "Zr", "Be", "Be", "Be", "Be", "W", "W"],
  "fractional_positions": [[0.183, 0.317, 0.000], [0.317, 0.817, 0.000], [0.683, 0.183, 0.000], [0.817, 0.683, 0.000], [0.117, 0.617, 0.500], [0.383, 0.117, 0.500], [0.617, 0.883, 0.500], [0.883, 0.383, 0.500], [0.000, 0.000, 0.500], [0.500, 0.500, 0.500]],
  "energy_ev_per_fu": -37.58,
  "space_group": "P4/mbm, No. 127",
  "m_tot_mub_per_cell": 0.0
}

=====

{
  "formula": "ZrBe2W",
  "functional": "PBE",
  "state": "optimized geometry",
  "lattice": [[3.434, 0.000, 0.000], [0.000, 3.434, 0.000], [0.000, 0.000, 4.908]],
  "species": ["Zr", "Be", "Be", "W"],
  "fractional_positions": [[0.000, 0.000, 0.000], [0.000, 0.000, 0.508], [0.500, 0.500, 0.150], [0.500, 0.500, 0.638]],
  "energy_ev_per_fu": -27.28,
  "e_above_lowest_polymorph_ev_per_atom": 0.4694,
  "space_group": "P4mm, No. 99",
  "m_tot_mub_per_cell": 0.0
}

=====

Number 1: ΔE_f -0.0148 eV per atom, calculated volume 15.7 Å³ per atom. Number 2: ΔE_f 0.4176 eV per atom, calculated volume 14.5 Å³ per atom.